Here is a relaxed K2Np2ZnS6 crystal from Alexandria. Energies are from PBE-GGA.

The space group is C2/m (No. 12) and the conventional cell measures 6.6397, 12.2927 and 7.8153 Å, with angles of 90.00, 105.63 and 90.00 degrees. The distinct sites, in fractional coordinates, are K at (0.0000, 0.1565, 0.0000), Np at (0.0000, 0.3341, 0.5000), Zn at (0.0000, 0.0000, 0.5000), S at (0.2371, 0.1804, 0.6989) and S at (0.2413, 0.0000, 0.3292).

The formation energy from raw total energies is -1180 meV/atom.

---

Here is a relaxed ErTiTc crystal from Alexandria. Energies are from PBE-GGA.

The space group is I4mm (No. 107) and the conventional cell measures 3.3011, 3.3011 and 10.8472 Å, with angles of 90.00, 90.00 and 90.00 degrees. The distinct sites, in fractional coordinates, are Er at (0.0000, 0.0000, 0.0000), Ti at (0.0000, 0.0000, 0.2835) and Tc at (0.0000, 0.0000, 0.6752).

For the formation enthalpy at 0 K, the calculation gives -0.178 eV/atom. The energy above the most stable polymorph in this dataset comes out at 0 meV per atom.

---

Here is a relaxed CrCdIr2 crystal from Alexandria. Energies are from PBE-GGA.

The space group is Cmm2 (No. 35) and the conventional cell measures 2.8059, 4.6803 and 9.3633 Å, with angles of 90.00, 90.00 and 90.00 degrees. The distinct sites, in fractional coordinates, are Cr at (0.0000, 0.0000, 0.0000), Cd at (0.0000, 0.5000, 0.7374), Ir at (0.0000, 0.0000, 0.4736) and Ir at (0.0000, 0.5000, 0.2199).

For the formation enthalpy at 0 K, the calculation gives 0.405 eV/atom.

---

Here is a relaxed CaTb8Y6 crystal from Alexandria. Energies are from PBE-GGA.

The space group is R-3 (No. 148, hexagonal axes) and the conventional cell measures 9.6498, 9.6498 and 18.0754 Å, with angles of 90.00, 90.00 and 120.00 degrees. The distinct sites, in fractional coordinates, are Ca at (0.0000, 0.0000, 0.0000), Tb at (0.0000, 0.0000, 0.2382), Tb at (0.0480, 0.7680, 0.9023) and Y at (0.0254, 0.7906, 0.4100).

For the formation enthalpy at 0 K, the calculation gives 0.187 eV/atom.

---

Here is a relaxed GdMgBi crystal from Alexandria. Energies are from PBE-GGA.

The space group is I4mm (No. 107) and the conventional cell measures 3.8739, 3.8739 and 11.2284 Å, with angles of 90.00, 90.00 and 90.00 degrees. The distinct sites, in fractional coordinates, are Gd at (0.0000, 0.0000, 0.0000), Mg at (0.0000, 0.0000, 0.6821) and Bi at (0.0000, 0.0000, 0.3199).

For the formation enthalpy at 0 K, the calculation gives -0.312 eV/atom. The energy above the most stable polymorph in this dataset comes out at 55 meV per atom.

---

Here is a relaxed PmNd2Er3Sb6 crystal from Alexandria. Energies are from PBE-GGA.

The space group is C2/m (No. 12) and the conventional cell measures 19.3117, 4.4369 and 8.8607 Å, with angles of 90.00, 103.10 and 90.00 degrees. The distinct sites, in fractional coordinates, are Pm at (0.0000, 0.0000, 0.0000), Nd at (0.1665, 0.5000, 0.3328), Er at (0.0000, 0.0000, 0.5000), Er at (0.1669, 0.5000, 0.8332), Sb at (0.0027, 0.5000, 0.7451), Sb at (0.1642, 0.0000, 0.5893) and Sb at (0.1686, 0.0000, 0.0764).

The formation energy from raw total energies is -1138 meV/atom.

---

Here is a relaxed AgTeS3 crystal from Alexandria. Energies are from PBE-GGA.

The space group is Pm-3m (No. 221) and the conventional cell measures 5.0568, 5.0568 and 5.0568 Å, with angles of 90.00, 90.00 and 90.00 degrees. The distinct sites, in fractional coordinates, are Ag at (0.0000, 0.0000, 0.0000), Te at (0.5000, 0.5000, 0.5000) and S at (0.0000, 0.5000, 0.5000).

The energy above the most stable polymorph in this dataset comes out at 524 meV per atom. The formation energy from raw total energies is 628 meV/atom.

---

Here is a relaxed Pr4Dy3Hg crystal from Alexandria. Energies are from PBE-GGA.

The space group is P4/mmm (No. 123) and the conventional cell measures 3.6895, 3.6895 and 19.2538 Å, with angles of 90.00, 90.00 and 90.00 degrees. The distinct sites, in fractional coordinates, are Pr at (0.0000, 0.0000, 0.1082), Pr at (0.0000, 0.0000, 0.3704), Dy at (0.5000, 0.5000, 0.2402), Dy at (0.5000, 0.5000, 0.5000) and Hg at (0.5000, 0.5000, 0.0000).

For the formation enthalpy at 0 K, the calculation gives -0.095 eV/atom.